The following is a DFT calculation (GGA-PBE) of a relaxed structure of Mg2Cu2Ir.

POSCAR file:
```
Mg2Cu2Ir
1.0
-2.417 1.694 -1.402
-2.191 -2.028 1.326
-2.725 4.264 6.044
Mg Ir Cu
2 1 2
Cartesian
-2.387 0.703 1.156
-4.947 3.228 4.813
0.000 0.000 0.000
-3.723 2.896 2.302
-3.610 1.034 3.666
```

Summary:
VASP energy = -20.281 eV/cell
ΔH_f (0 K) = -8 meV per atom
SG = No. 139
Density of states at the Fermi level = 1.58 states/eV/f.u.
E above lowest polymorph = 39.7 meV per atom